# 1
The following is a DFT calculation (GGA-PBE) of CaInBr5 after structural relaxation.

```
data_CaInBr5
_space_group_name_H-M_alt 'C 1 2/c 1'
_space_group_IT_number 15
_cell_length_a 11.124
_cell_length_b 10.794
_cell_length_c 10.751
_cell_angle_alpha 90.00
_cell_angle_beta 118.53
_cell_angle_gamma 90.00
loop_
_space_group_symop_operation_xyz
'x,y,z'
'-x,-y,-z'
'-x,y,-z+1/2'
'x,-y,z+1/2'
'x+1/2,y+1/2,z'
'-x+1/2,-y+1/2,-z'
'-x+1/2,y+1/2,-z+1/2'
'x+1/2,-y+1/2,z+1/2'
loop_
_atom_site_label
_atom_site_type_symbol
_atom_site_fract_x
_atom_site_fract_y
_atom_site_fract_z
_atom_site_occupancy
Ca1 Ca 0.000 0.000 0.000 1
In1 In 0.000 0.392 0.250 1
Br1 Br 0.000 0.075 0.750 1
Br2 Br 0.020 0.274 0.465 1
Br3 Br 0.199 0.454 0.840 1
```

- D(E_F): 0.00 states/eV/cell
- Total magnetization: 0.2 μB per cell
- Raw formation energy: -1.28 eV/atom
- Uncorrected energy: -3.15 eV/atom

=====

# 2
The following is a DFT calculation (GGA-PBE) of Ca2InBr after structural relaxation.

```
data_Ca2InBr
_space_group_name_H-M_alt 'F -4 3 m'
_space_group_IT_number 216
_space_group_name_Hall 'F -4 2 3'
_cell_length_a 8.038
_cell_length_b 8.038
_cell_length_c 8.038
_cell_angle_alpha 90.00
_cell_angle_beta 90.00
_cell_angle_gamma 90.00
loop_
_atom_site_label
_atom_site_type_symbol
_atom_site_fract_x
_atom_site_fract_y
_atom_site_fract_z
_atom_site_occupancy
Ca1 Ca 0.000 0.000 0.000 1
Ca2 Ca 0.250 0.250 0.250 1
In1 In 0.000 0.000 0.500 1
Br1 Br 0.250 0.250 0.750 1
```

- D(E_F): 18.70 states/eV/cell
- E above lowest polymorph: 734 meV per atom
- Total magnetization: 0.0 μB per cell
- Raw formation energy: -0.21 eV/atom
- Uncorrected energy: -2.31 eV/atom

=====

# 3
The following is a DFT calculation (GGA-PBE) of CaIn2Br after structural relaxation.

```
data_CaIn2Br
_space_group_name_H-M_alt 'P 4/m m m'
_space_group_IT_number 123
_space_group_name_Hall '-P 4 2'
_cell_length_a 5.491
_cell_length_b 5.491
_cell_length_c 3.891
_cell_angle_alpha 90.00
_cell_angle_beta 90.00
_cell_angle_gamma 90.00
loop_
_atom_site_label
_atom_site_type_symbol
_atom_site_fract_x
_atom_site_fract_y
_atom_site_fract_z
_atom_site_occupancy
Ca1 Ca 0.000 0.000 0.000 1
In1 In 0.000 0.500 0.500 1
Br1 Br 0.500 0.500 0.000 1
```

- D(E_F): 2.48 states/eV/cell
- E above lowest polymorph: 282 meV per atom
- Total magnetization: 0.0 μB per cell
- Raw formation energy: -0.39 eV/atom
- Uncorrected energy: -2.68 eV/atom

=====

# 4
The following is a DFT calculation (GGA-PBE) of CaIn2Br after structural relaxation.

```
data_CaIn2Br
_space_group_name_H-M_alt 'F m -3 m'
_space_group_IT_number 225
_space_group_name_Hall '-F 4 2 3'
_cell_length_a 7.919
_cell_length_b 7.919
_cell_length_c 7.919
_cell_angle_alpha 90.00
_cell_angle_beta 90.00
_cell_angle_gamma 90.00
loop_
_atom_site_label
_atom_site_type_symbol
_atom_site_fract_x
_atom_site_fract_y
_atom_site_fract_z
_atom_site_occupancy
Ca1 Ca 0.000 0.000 0.000 1
In1 In 0.250 0.250 0.250 1
Br1 Br 0.000 0.000 0.500 1
```

- D(E_F): 13.57 states/eV/cell
- E above lowest polymorph: 517 meV per atom
- Total magnetization: 0.0 μB per cell
- Raw formation energy: -0.16 eV/atom
- Uncorrected energy: -2.44 eV/atom

=====

# 5
The following is a DFT calculation (GGA-PBE) of CaInBr3 after structural relaxation.

```
data_CaInBr3
_space_group_name_H-M_alt 'P 1 21/m 1'
_space_group_IT_number 11
_cell_length_a 4.294
_cell_length_b 10.954
_cell_length_c 7.503
_cell_angle_alpha 90.00
_cell_angle_beta 106.56
_cell_angle_gamma 90.00
loop_
_space_group_symop_operation_xyz
'x,y,z'
'-x,-y,-z'
'-x,y+1/2,-z'
'x,-y+1/2,z'
loop_
_atom_site_label
_atom_site_type_symbol
_atom_site_fract_x
_atom_site_fract_y
_atom_site_fract_z
_atom_site_occupancy
Ca1 Ca 0.000 0.000 0.000 1
In1 In 0.268 0.250 0.530 1
Br1 Br 0.068 0.750 0.138 1
Br2 Br 0.367 0.547 0.734 1
```

- D(E_F): 0.00 states/eV/cell
- Total magnetization: 0.0 μB per cell
- Raw formation energy: -1.49 eV/atom
- Uncorrected energy: -3.44 eV/atom

=====

# 6
The following is a DFT calculation (GGA-PBE) of CaIn2Br after structural relaxation.

```
data_CaIn2Br
_space_group_name_H-M_alt 'I m m 2'
_space_group_IT_number 44
_cell_length_a 3.705
_cell_length_b 5.983
_cell_length_c 10.783
_cell_angle_alpha 90.00
_cell_angle_beta 90.00
_cell_angle_gamma 90.00
loop_
_space_group_symop_operation_xyz
'x,y,z'
'-x,-y,z'
'-x,y,z'
'x,-y,z'
'x+1/2,y+1/2,z+1/2'
'-x+1/2,-y+1/2,z+1/2'
'-x+1/2,y+1/2,z+1/2'
'x+1/2,-y+1/2,z+1/2'
loop_
_atom_site_label
_atom_site_type_symbol
_atom_site_fract_x
_atom_site_fract_y
_atom_site_fract_z
_atom_site_occupancy
Ca1 Ca 0.000 0.000 0.000 1
In1 In 0.000 0.000 0.520 1
In2 In 0.000 0.500 0.757 1
Br1 Br 0.000 0.500 0.299 1
```

- D(E_F): 3.97 states/eV/cell
- E above lowest polymorph: 143 meV per atom
- Total magnetization: 0.0 μB per cell
- Raw formation energy: -0.53 eV/atom
- Uncorrected energy: -2.82 eV/atom

=====

# 7
The following is a DFT calculation (GGA-PBE) of CaInBr4 after structural relaxation.

```
data_CaInBr4
_space_group_name_H-M_alt 'F -4 3 m'
_space_group_IT_number 216
_space_group_name_Hall 'F -4 2 3'
_cell_length_a 9.198
_cell_length_b 9.198
_cell_length_c 9.198
_cell_angle_alpha 90.00
_cell_angle_beta 90.00
_cell_angle_gamma 90.00
loop_
_atom_site_label
_atom_site_type_symbol
_atom_site_fract_x
_atom_site_fract_y
_atom_site_fract_z
_atom_site_occupancy
Ca1 Ca 0.000 0.000 0.000 1
In1 In 0.250 0.250 0.750 1
Br1 Br 0.125 0.125 0.375 1
```

- D(E_F): 21.16 states/eV/cell
- Total magnetization: 4.0 μB per cell
- Raw formation energy: -0.30 eV/atom
- Uncorrected energy: -2.21 eV/atom

=====

# 8
The following is a DFT calculation (GGA-PBE) of Ca2InBr after structural relaxation.

```
data_Ca2InBr
_space_group_name_H-M_alt 'P 4 m m'
_space_group_IT_number 99
_cell_length_a 3.717
_cell_length_b 3.717
_cell_length_c 10.405
_cell_angle_alpha 90.00
_cell_angle_beta 90.00
_cell_angle_gamma 90.00
loop_
_space_group_symop_operation_xyz
'x,y,z'
'-y,x,z'
'-x,-y,z'
'y,-x,z'
'-x,y,z'
'y,x,z'
'x,-y,z'
'-y,-x,z'
loop_
_atom_site_label
_atom_site_type_symbol
_atom_site_fract_x
_atom_site_fract_y
_atom_site_fract_z
_atom_site_occupancy
Ca1 Ca 0.000 0.000 0.000 1
Ca2 Ca 0.500 0.500 0.297 1
In1 In 0.000 0.000 0.484 1
Br1 Br 0.500 0.500 0.856 1
```

- D(E_F): 2.57 states/eV/cell
- E above lowest polymorph: 307 meV per atom
- Total magnetization: 0.0 μB per cell
- Raw formation energy: -0.64 eV/atom
- Uncorrected energy: -2.74 eV/atom

=====

# 9
The following is a DFT calculation (GGA-PBE) of Ca2InBr after structural relaxation.

```
data_Ca2InBr
_space_group_name_H-M_alt 'I -4 m 2'
_space_group_IT_number 119
_space_group_name_Hall 'I -4 -2'
_cell_length_a 4.469
_cell_length_b 4.469
_cell_length_c 12.758
_cell_angle_alpha 90.00
_cell_angle_beta 90.00
_cell_angle_gamma 90.00
loop_
_atom_site_label
_atom_site_type_symbol
_atom_site_fract_x
_atom_site_fract_y
_atom_site_fract_z
_atom_site_occupancy
Ca1 Ca 0.000 0.000 0.000 1
Ca2 Ca 0.000 0.500 0.250 1
In1 In 0.000 0.500 0.750 1
Br1 Br 0.000 0.000 0.500 1
```

- D(E_F): 4.93 states/eV/cell
- E above lowest polymorph: 303 meV per atom
- Total magnetization: 0.0 μB per cell
- Raw formation energy: -0.64 eV/atom
- Uncorrected energy: -2.74 eV/atom

=====

# 10
The following is a DFT calculation (GGA-PBE) of CaIn3Br after structural relaxation.

```
data_CaIn3Br
_space_group_name_H-M_alt 'P m -3 m'
_space_group_IT_number 221
_space_group_name_Hall '-P 4 2 3'
_cell_length_a 5.796
_cell_length_b 5.796
_cell_length_c 5.796
_cell_angle_alpha 90.00
_cell_angle_beta 90.00
_cell_angle_gamma 90.00
loop_
_atom_site_label
_atom_site_type_symbol
_atom_site_fract_x
_atom_site_fract_y
_atom_site_fract_z
_atom_site_occupancy
Ca1 Ca 0.000 0.000 0.000 1
In1 In 0.000 0.500 0.500 1
Br1 Br 0.500 0.500 0.500 1
```

- D(E_F): 2.94 states/eV/cell
- E above lowest polymorph: 0 meV per atom
- Total magnetization: 0.0 μB per cell
- Raw formation energy: 0.08 eV/atom
- Uncorrected energy: -2.29 eV/atom

=====

# 11
The following is a DFT calculation (GGA-PBE) of CaInBr3 after structural relaxation.

```
data_CaInBr3
_space_group_name_H-M_alt 'P m -3 m'
_space_group_IT_number 221
_space_group_name_Hall '-P 4 2 3'
_cell_length_a 5.680
_cell_length_b 5.680
_cell_length_c 5.680
_cell_angle_alpha 90.00
_cell_angle_beta 90.00
_cell_angle_gamma 90.00
loop_
_atom_site_label
_atom_site_type_symbol
_atom_site_fract_x
_atom_site_fract_y
_atom_site_fract_z
_atom_site_occupancy
Ca1 Ca 0.000 0.000 0.000 1
In1 In 0.500 0.500 0.500 1
Br1 Br 0.000 0.000 0.500 1
```

- D(E_F): 0.00 states/eV/cell
- Total magnetization: 0.0 μB per cell
- Raw formation energy: -1.41 eV/atom
- Uncorrected energy: -3.36 eV/atom

=====

# 12
The following is a DFT calculation (GGA-PBE) of Ca2In2Br7 after structural relaxation.

```
data_Ca2In2Br7
_space_group_name_H-M_alt 'C 1 2/m 1'
_space_group_IT_number 12
_cell_length_a 9.372
_cell_length_b 13.470
_cell_length_c 7.584
_cell_angle_alpha 90.00
_cell_angle_beta 96.07
_cell_angle_gamma 90.00
loop_
_space_group_symop_operation_xyz
'x,y,z'
'-x,-y,-z'
'-x,y,-z'
'x,-y,z'
'x+1/2,y+1/2,z'
'-x+1/2,-y+1/2,-z'
'-x+1/2,y+1/2,-z'
'x+1/2,-y+1/2,z'
loop_
_atom_site_label
_atom_site_type_symbol
_atom_site_fract_x
_atom_site_fract_y
_atom_site_fract_z
_atom_site_occupancy
Ca1 Ca 0.226 0.000 0.109 1
In1 In 0.000 0.196 0.500 1
Br1 Br 0.000 0.500 0.000 1
Br2 Br 0.066 0.000 0.764 1
Br3 Br 0.240 0.316 0.709 1
```

- D(E_F): 10.26 states/eV/cell
- Total magnetization: 0.0 μB per cell
- Raw formation energy: -1.31 eV/atom
- Uncorrected energy: -3.24 eV/atom

=====

# 13
The following is a DFT calculation (GGA-PBE) of CaIn2Br after structural relaxation.

```
data_CaIn2Br
_space_group_name_H-M_alt 'C m m m'
_space_group_IT_number 65
_space_group_name_Hall '-C 2 2'
_cell_length_a 4.036
_cell_length_b 6.084
_cell_length_c 9.832
_cell_angle_alpha 90.00
_cell_angle_beta 90.00
_cell_angle_gamma 90.00
loop_
_atom_site_label
_atom_site_type_symbol
_atom_site_fract_x
_atom_site_fract_y
_atom_site_fract_z
_atom_site_occupancy
Ca1 Ca 0.000 0.000 0.000 1
In1 In 0.000 0.500 0.263 1
Br1 Br 0.000 0.000 0.500 1
```

- D(E_F): 3.69 states/eV/cell
- E above lowest polymorph: 415 meV per atom
- Total magnetization: 0.0 μB per cell
- Raw formation energy: -0.26 eV/atom
- Uncorrected energy: -2.54 eV/atom

=====

# 14
The following is a DFT calculation (GGA-PBE) of CaIn2Br after structural relaxation.

```
data_CaIn2Br
_space_group_name_H-M_alt 'R -3 m'
_space_group_IT_number 166
_space_group_name_Hall '-R 3 2"'
_cell_length_a 3.7694
_cell_length_b 3.7694
_cell_length_c 29.6088
_cell_angle_alpha 90.00
_cell_angle_beta 90.00
_cell_angle_gamma 120.00
loop_
_atom_site_label
_atom_site_type_symbol
_atom_site_fract_x
_atom_site_fract_y
_atom_site_fract_z
_atom_site_occupancy
Ca1 Ca 0.0000 0.0000 0.0000 1
In1 In 0.0000 0.0000 0.2447 1
Br1 Br 0.0000 0.0000 0.5000 1
```

- D(E_F): 8.66 states/eV/cell
- E above lowest polymorph: 392 meV per atom
- Total magnetization: 0.0 μB per cell
- Raw formation energy: -0.28 eV/atom
- Uncorrected energy: -2.57 eV/atom